1.
{
  "formula": "Pm2Dy3In4",
  "functional": "GGA-PBE",
  "state": "relaxed",
  "lattice_angstrom": [[5.319, 0.001, 0.001], [2.659, 4.601, 0.173], [-0.002, -0.403, 10.395]],
  "species": ["Pm", "Pm", "Dy", "Dy", "Dy", "In", "In", "In", "In"],
  "frac_coords": [[0.667, 0.666, 0.222], [0.333, 0.334, 0.778], [0.333, 0.333, 0.425], [0.000, 0.000, 0.000], [0.667, 0.667, 0.575], [0.334, 0.333, 0.101], [0.000, 0.999, 0.349], [0.666, 0.667, 0.899], [0.000, 0.001, 0.651]],
  "density_g_cm3": 8.06,
  "volume_a3_per_atom": 28.31,
  "total_magnetization_mub_per_cell": 0.00,
  "crystal_system": "monoclinic",
  "polymorph_energy_ev_per_atom": 0.000,
  "n_ef_per_ev_atom": 0.95
}

2.
{
  "formula": "PmDy9In2",
  "functional": "GGA-PBE",
  "state": "relaxed",
  "lattice_angstrom": [[4.873, 0.000, 0.000], [0.000, 4.873, 0.000], [0.000, 0.000, 14.995]],
  "species": ["Dy", "Dy", "Dy", "Dy", "Dy", "Dy", "Dy", "Dy", "Dy", "Pm", "In", "In"],
  "frac_coords": [[0.500, 0.500, 0.339], [0.500, 0.000, 0.500], [0.500, 0.500, 0.000], [0.500, 0.500, 0.661], [0.000, 0.500, 0.826], [0.000, 0.500, 0.174], [0.000, 0.500, 0.500], [0.500, 0.000, 0.174], [0.500, 0.000, 0.826], [0.000, 0.000, 0.000], [0.000, 0.000, 0.340], [0.000, 0.000, 0.660]],
  "density_g_cm3": 8.57,
  "volume_a3_per_atom": 29.67,
  "total_magnetization_mub_per_cell": 0.00,
  "e_tot_ev_per_atom": -4.47,
  "crystal_system": "tetragonal",
  "n_ef_per_ev_atom": 1.18
}

3.
{
  "formula": "Pm3DyIn12",
  "functional": "GGA-PBE",
  "state": "relaxed",
  "lattice_angstrom": [[4.680, 0.000, 0.000], [0.000, 4.680, 0.000], [0.000, 0.000, 18.793]],
  "species": ["In", "In", "In", "In", "In", "In", "In", "In", "In", "In", "In", "In", "Pm", "Pm", "Pm", "Dy"],
  "frac_coords": [[0.500, 0.500, 0.000], [0.000, 0.500, 0.374], [0.500, 0.000, 0.374], [0.500, 0.500, 0.500], [0.000, 0.500, 0.626], [0.500, 0.500, 0.249], [0.000, 0.500, 0.878], [0.500, 0.000, 0.626], [0.500, 0.000, 0.878], [0.500, 0.000, 0.122], [0.000, 0.500, 0.122], [0.500, 0.500, 0.751], [0.000, 0.000, 0.500], [0.000, 0.000, 0.248], [0.000, 0.000, 0.752], [0.000, 0.000, 0.000]],
  "density_g_cm3": 7.97,
  "volume_a3_per_atom": 25.73,
  "total_magnetization_mub_per_cell": 0.00,
  "e_tot_ev_per_atom": -3.68,
  "crystal_system": "tetragonal",
  "n_ef_per_ev_atom": 0.62
}

4.
{
  "formula": "Pm2DyIn6",
  "functional": "GGA-PBE",
  "state": "relaxed",
  "lattice_angstrom": [[3.644, 0.000, 0.000], [0.000, 7.488, -4.323], [0.000, 0.000, 8.647]],
  "species": ["In", "In", "In", "In", "In", "In", "Dy", "Pm", "Pm"],
  "frac_coords": [[0.500, 0.668, 0.668], [0.500, 0.000, 0.332], [0.500, 0.332, 0.000], [0.500, 0.000, 0.668], [0.500, 0.668, 0.000], [0.500, 0.332, 0.332], [0.000, 0.000, 0.000], [0.000, 0.667, 0.333], [0.000, 0.333, 0.667]],
  "density_g_cm3": 8.03,
  "volume_a3_per_atom": 26.22,
  "total_magnetization_mub_per_cell": 0.00,
  "e_tot_ev_per_atom": -3.83,
  "crystal_system": "hexagonal",
  "n_ef_per_ev_atom": 0.35
}

5.
{
  "formula": "Pm4DyIn",
  "functional": "GGA-PBE",
  "state": "relaxed",
  "lattice_angstrom": [[-3.329, 0.228, -2.459], [0.240, -4.078, -0.701], [-6.629, -1.902, 8.797]],
  "species": ["Pm", "Pm", "Pm", "Pm", "In", "Dy"],
  "frac_coords": [[0.000, 0.000, 0.647], [0.500, 0.500, 0.167], [0.500, 0.500, 0.833], [0.000, 0.000, 0.353], [0.500, 0.500, 0.500], [0.000, 0.000, 0.000]],
  "density_g_cm3": 7.41,
  "volume_a3_per_atom": 32.01,
  "total_magnetization_mub_per_cell": 0.00,
  "crystal_system": "tetragonal",
  "polymorph_energy_ev_per_atom": 0.000,
  "n_ef_per_ev_atom": 1.81
}

6.
{
  "formula": "PmDy4In3",
  "functional": "GGA-PBE",
  "state": "relaxed",
  "lattice_angstrom": [[5.153, 0.000, 1.521], [2.352, 4.585, 1.521], [-0.034, -0.021, 9.604]],
  "species": ["In", "In", "In", "Dy", "Dy", "Dy", "Dy", "Pm"],
  "frac_coords": [[0.262, 0.262, 0.215], [0.500, 0.500, 0.500], [0.738, 0.738, 0.785], [0.386, 0.386, 0.841], [0.614, 0.614, 0.159], [0.130, 0.130, 0.610], [0.870, 0.870, 0.390], [0.000, 0.000, 0.000]],
  "density_g_cm3": 8.33,
  "volume_a3_per_atom": 28.40,
  "total_magnetization_mub_per_cell": 1.72,
  "crystal_system": "trigonal",
  "polymorph_energy_ev_per_atom": 0.000,
  "n_ef_per_ev_atom": 1.29
}

7.
{
  "formula": "Pm4Dy3In2",
  "functional": "GGA-PBE",
  "state": "relaxed",
  "lattice_angstrom": [[-3.620, 0.841, 3.892], [-4.722, -4.890, 0.388], [1.078, -7.214, 6.273]],
  "species": ["Dy", "Dy", "Dy", "In", "In", "Pm", "Pm", "Pm", "Pm"],
  "frac_coords": [[0.420, 0.806, 0.352], [0.580, 0.194, 0.648], [0.000, 0.000, 0.000], [0.792, 0.098, 0.318], [0.208, 0.902, 0.682], [0.883, 0.577, 0.657], [0.117, 0.423, 0.343], [0.669, 0.626, 0.036], [0.331, 0.374, 0.964]],
  "density_g_cm3": 7.71,
  "volume_a3_per_atom": 31.03,
  "total_magnetization_mub_per_cell": 0.00,
  "e_tot_ev_per_atom": -4.44,
  "crystal_system": "triclinic",
  "n_ef_per_ev_atom": 1.03
}

8.
{
  "formula": "Pm3Dy3In",
  "functional": "GGA-PBE",
  "state": "relaxed",
  "lattice_angstrom": [[5.616, 0.000, 0.000], [0.000, 9.484, 0.001], [0.000, -4.746, 8.211]],
  "species": ["Pm", "Pm", "Pm", "Pm", "Pm", "Pm", "In", "In", "Dy", "Dy", "Dy", "Dy", "Dy", "Dy"],
  "frac_coords": [[0.250, 0.370, 0.894], [0.750, 0.894, 0.524], [0.750, 0.630, 0.106], [0.250, 0.523, 0.629], [0.750, 0.477, 0.371], [0.250, 0.106, 0.476], [0.750, 0.333, 0.667], [0.250, 0.667, 0.333], [0.750, 0.761, 0.822], [0.250, 0.939, 0.761], [0.750, 0.061, 0.239], [0.750, 0.178, 0.939], [0.250, 0.822, 0.061], [0.250, 0.239, 0.178]],
  "density_g_cm3": 7.88,
  "volume_a3_per_atom": 31.24,
  "total_magnetization_mub_per_cell": 0.00,
  "crystal_system": "hexagonal",
  "polymorph_energy_ev_per_atom": 0.000,
  "n_ef_per_ev_atom": 1.35
}

9.
{
  "formula": "Pm12Dy3In",
  "functional": "GGA-PBE",
  "state": "relaxed",
  "lattice_angstrom": [[5.062, 0.000, 0.000], [0.000, 5.062, 0.000], [0.000, 0.000, 20.523]],
  "species": ["Pm", "Pm", "Pm", "Pm", "Pm", "Pm", "Pm", "Pm", "Pm", "Pm", "Pm", "Pm", "Dy", "Dy", "Dy", "In"],
  "frac_coords": [[0.500, 0.500, 0.754], [0.500, 0.000, 0.626], [0.000, 0.500, 0.879], [0.500, 0.500, 0.246], [0.500, 0.000, 0.374], [0.500, 0.500, 0.000], [0.000, 0.500, 0.626], [0.500, 0.500, 0.500], [0.500, 0.000, 0.121], [0.000, 0.500, 0.121], [0.000, 0.500, 0.374], [0.500, 0.000, 0.879], [0.000, 0.000, 0.248], [0.000, 0.000, 0.752], [0.000, 0.000, 0.500], [0.000, 0.000, 0.000]],
  "density_g_cm3": 7.40,
  "volume_a3_per_atom": 32.87,
  "total_magnetization_mub_per_cell": 0.00,
  "e_tot_ev_per_atom": -4.65,
  "crystal_system": "tetragonal",
  "n_ef_per_ev_atom": 1.41
}

10.
{
  "formula": "Pm3DyIn4",
  "functional": "GGA-PBE",
  "state": "relaxed",
  "lattice_angstrom": [[-2.218, 1.709, 2.601], [-2.795, -2.499, -0.741], [5.502, -9.371, 10.849]],
  "species": ["In", "In", "In", "In", "Dy", "Pm", "Pm", "Pm"],
  "frac_coords": [[0.000, 0.000, 0.882], [0.000, 0.000, 0.118], [0.000, 0.000, 0.627], [0.000, 0.000, 0.373], [0.500, 0.500, 0.000], [0.500, 0.500, 0.754], [0.500, 0.500, 0.246], [0.500, 0.500, 0.500]],
  "density_g_cm3": 7.83,
  "volume_a3_per_atom": 28.03,
  "total_magnetization_mub_per_cell": 0.00,
  "e_tot_ev_per_atom": -4.22,
  "crystal_system": "tetragonal",
  "n_ef_per_ev_atom": 0.57
}

11.
{
  "formula": "PmDy6In5",
  "functional": "GGA-PBE",
  "state": "relaxed",
  "lattice_angstrom": [[4.796, 0.020, -1.399], [-1.205, 7.714, -4.017], [0.050, -0.260, 9.083]],
  "species": ["In", "In", "In", "In", "In", "Dy", "Dy", "Dy", "Dy", "Dy", "Dy", "Pm"],
  "frac_coords": [[0.000, 0.500, 0.000], [0.653, 0.153, 0.306], [0.678, 0.678, 0.355], [0.322, 0.322, 0.645], [0.347, 0.847, 0.694], [0.500, 0.727, 0.000], [0.830, 0.566, 0.660], [0.170, 0.906, 0.340], [0.170, 0.434, 0.340], [0.830, 0.094, 0.660], [0.500, 0.273, 0.000], [0.000, 0.000, 0.000]],
  "density_g_cm3": 8.49,
  "volume_a3_per_atom": 27.61,
  "total_magnetization_mub_per_cell": 0.00,
  "crystal_system": "orthorhombic",
  "polymorph_energy_ev_per_atom": 0.000,
  "n_ef_per_ev_atom": 1.00
}

12.
{
  "formula": "Pm2Dy2In",
  "functional": "GGA-PBE",
  "state": "relaxed",
  "lattice_angstrom": [[-4.288, -3.028, -1.520], [5.055, -2.046, -0.360], [-0.956, -4.365, 11.391]],
  "species": ["Dy", "Dy", "Dy", "Dy", "Pm", "Pm", "Pm", "Pm", "In", "In"],
  "frac_coords": [[0.000, 0.000, 0.000], [0.333, 0.667, 0.250], [0.000, 0.000, 0.500], [0.667, 0.333, 0.750], [0.333, 0.667, 0.911], [0.667, 0.333, 0.089], [0.667, 0.333, 0.411], [0.333, 0.667, 0.589], [0.000, 0.000, 0.750], [0.000, 0.000, 0.250]],
  "density_g_cm3": 7.66,
  "volume_a3_per_atom": 31.65,
  "total_magnetization_mub_per_cell": 0.00,
  "crystal_system": "hexagonal",
  "polymorph_energy_ev_per_atom": 0.000,
  "n_ef_per_ev_atom": 1.56
}

13.
{
  "formula": "Pm3DyIn2",
  "functional": "GGA-PBE",
  "state": "relaxed",
  "lattice_angstrom": [[-2.842, -1.825, 3.695], [7.368, -4.039, 3.672], [-0.866, 9.309, 0.532]],
  "species": ["Pm", "Pm", "Pm", "Pm", "Pm", "Pm", "Dy", "Dy", "In", "In", "In", "In"],
  "frac_coords": [[0.827, 0.577, 0.653], [0.500, 0.250, 0.000], [0.173, 0.423, 0.347], [0.173, 0.923, 0.347], [0.500, 0.750, 0.000], [0.827, 0.077, 0.653], [0.000, 0.000, 0.000], [0.000, 0.500, 0.000], [0.655, 0.155, 0.310], [0.345, 0.845, 0.690], [0.345, 0.345, 0.690], [0.655, 0.655, 0.310]],
  "density_g_cm3": 7.70,
  "volume_a3_per_atom": 29.73,
  "total_magnetization_mub_per_cell": 0.00,
  "crystal_system": "monoclinic",
  "polymorph_energy_ev_per_atom": 0.045,
  "n_ef_per_ev_atom": 1.14
}

14.
{
  "formula": "PmDy4In4",
  "functional": "GGA-PBE",
  "state": "relaxed",
  "lattice_angstrom": [[-3.988, -1.970, 5.722], [6.035, -1.800, 3.587], [0.651, 9.837, 3.840]],
  "species": ["In", "In", "In", "In", "In", "In", "In", "In", "Dy", "Dy", "Dy", "Dy", "Dy", "Dy", "Dy", "Dy", "Pm", "Pm"],
  "frac_coords": [[0.000, 0.715, 0.711], [0.715, 0.000, 0.289], [0.215, 0.500, 0.211], [0.500, 0.215, 0.789], [0.785, 0.500, 0.211], [0.285, 0.000, 0.289], [0.500, 0.785, 0.789], [0.000, 0.285, 0.711], [0.231, 0.500, 0.913], [0.769, 0.500, 0.913], [0.500, 0.231, 0.087], [0.000, 0.731, 0.413], [0.731, 0.000, 0.587], [0.269, 0.000, 0.587], [0.500, 0.769, 0.087], [0.000, 0.269, 0.413], [0.000, 0.000, 0.000], [0.500, 0.500, 0.500]],
  "density_g_cm3": 7.50,
  "volume_a3_per_atom": 30.87,
  "total_magnetization_mub_per_cell": 0.00,
  "e_tot_ev_per_atom": -3.95,
  "crystal_system": "tetragonal",
  "n_ef_per_ev_atom": 0.70
}

15.
{
  "formula": "Pm4DyIn4",
  "functional": "GGA-PBE",
  "state": "relaxed",
  "lattice_angstrom": [[-4.191, 4.358, -1.543], [-6.713, -5.195, 3.559], [1.201, 4.051, 8.177]],
  "species": ["Pm", "Pm", "Pm", "Pm", "Pm", "Pm", "Pm", "Pm", "In", "In", "In", "In", "In", "In", "In", "In", "Dy", "Dy"],
  "frac_coords": [[0.629, 0.830, 0.572], [0.129, 0.928, 0.330], [0.371, 0.572, 0.170], [0.129, 0.072, 0.670], [0.871, 0.670, 0.928], [0.629, 0.170, 0.428], [0.371, 0.428, 0.830], [0.871, 0.330, 0.072], [0.884, 0.599, 0.299], [0.384, 0.201, 0.099], [0.116, 0.701, 0.599], [0.616, 0.901, 0.201], [0.616, 0.099, 0.799], [0.884, 0.401, 0.701], [0.116, 0.299, 0.401], [0.384, 0.799, 0.901], [0.500, 0.500, 0.500], [0.000, 0.000, 0.000]],
  "density_g_cm3": 7.55,
  "volume_a3_per_atom": 29.37,
  "total_magnetization_mub_per_cell": 0.00,
  "e_tot_ev_per_atom": -4.13,
  "crystal_system": "tetragonal",
  "n_ef_per_ev_atom": 0.82
}

16.
{
  "formula": "Pm8Dy5In",
  "functional": "GGA-PBE",
  "state": "relaxed",
  "lattice_angstrom": [[-6.932, 5.309, 2.136], [3.213, -0.667, -8.178], [-0.432, -8.969, -0.415]],
  "species": ["Dy", "Dy", "Dy", "Dy", "Dy", "Pm", "Pm", "Pm", "Pm", "Pm", "Pm", "Pm", "Pm", "In"],
  "frac_coords": [[0.974, 0.245, 0.927], [0.932, 0.822, 0.205], [0.500, 0.000, 0.500], [0.383, 0.178, 0.110], [0.682, 0.755, 0.729], [0.988, 0.053, 0.571], [0.014, 0.433, 0.334], [0.117, 0.703, 0.045], [0.343, 0.297, 0.415], [0.900, 0.567, 0.580], [0.507, 0.633, 0.228], [0.595, 0.367, 0.874], [0.518, 0.947, 0.935], [0.298, 0.500, 0.798]],
  "density_g_cm3": 7.37,
  "volume_a3_per_atom": 33.59,
  "total_magnetization_mub_per_cell": 0.00,
  "e_tot_ev_per_atom": -4.46,
  "crystal_system": "monoclinic",
  "n_ef_per_ev_atom": 1.49
}

17.
{
  "formula": "Pm5Dy6In",
  "functional": "GGA-PBE",
  "state": "relaxed",
  "lattice_angstrom": [[0.427, -1.965, -4.575], [8.709, -0.070, 3.570], [-4.991, -6.259, 4.950]],
  "species": ["Dy", "Dy", "Dy", "Dy", "Dy", "Dy", "Pm", "Pm", "Pm", "Pm", "Pm", "In"],
  "frac_coords": [[0.245, 0.410, 0.081], [0.245, 0.081, 0.410], [0.256, 0.757, 0.757], [0.755, 0.919, 0.590], [0.755, 0.590, 0.919], [0.744, 0.243, 0.243], [0.500, 0.167, 0.833], [0.500, 0.500, 0.500], [0.000, 0.337, 0.663], [0.500, 0.833, 0.167], [0.000, 0.663, 0.337], [0.000, 0.000, 0.000]],
  "density_g_cm3": 7.93,
  "volume_a3_per_atom": 31.67,
  "total_magnetization_mub_per_cell": 0.00,
  "e_tot_ev_per_atom": -4.56,
  "crystal_system": "orthorhombic",
  "n_ef_per_ev_atom": 1.30
}

18.
{
  "formula": "Pm2Dy3In3",
  "functional": "GGA-PBE",
  "state": "relaxed",
  "lattice_angstrom": [[-4.310, -1.303, -0.288], [1.420, -4.259, -1.979], [2.069, -1.342, 10.455]],
  "species": ["Dy", "Dy", "Dy", "Pm", "Pm", "In", "In", "In"],
  "frac_coords": [[0.500, 0.000, 0.000], [0.617, 0.617, 0.235], [0.383, 0.383, 0.765], [0.261, 0.761, 0.521], [0.739, 0.239, 0.479], [0.877, 0.877, 0.755], [0.000, 0.500, 0.000], [0.123, 0.123, 0.245]],
  "density_g_cm3": 8.24,
  "volume_a3_per_atom": 28.26,
  "total_magnetization_mub_per_cell": 0.00,
  "e_tot_ev_per_atom": -4.29,
  "crystal_system": "orthorhombic",
  "n_ef_per_ev_atom": 0.89
}

19.
{
  "formula": "PmDy4In3",
  "functional": "GGA-PBE",
  "state": "relaxed",
  "lattice_angstrom": [[-2.069, -2.497, 1.312], [3.743, -5.910, -5.341], [4.405, 2.677, 7.376]],
  "species": ["In", "In", "In", "Pm", "Dy", "Dy", "Dy", "Dy"],
  "frac_coords": [[0.814, 0.814, 0.628], [0.000, 0.500, 0.000], [0.186, 0.186, 0.372], [0.500, 0.000, 0.000], [0.360, 0.162, 0.719], [0.640, 0.838, 0.281], [0.640, 0.443, 0.281], [0.360, 0.557, 0.719]],
  "density_g_cm3": 8.03,
  "volume_a3_per_atom": 29.45,
  "total_magnetization_mub_per_cell": 0.53,
  "crystal_system": "orthorhombic",
  "polymorph_energy_ev_per_atom": 0.091,
  "n_ef_per_ev_atom": 1.07
}

20.
{
  "formula": "Pm4DyIn2",
  "functional": "GGA-PBE",
  "state": "relaxed",
  "lattice_angstrom": [[5.935, 0.000, 0.000], [0.000, 5.935, 0.000], [-2.968, -2.968, 6.430]],
  "species": ["In", "In", "Pm", "Pm", "Pm", "Pm", "Dy"],
  "frac_coords": [[0.377, 0.377, 0.755], [0.623, 0.623, 0.245], [0.750, 0.250, 0.500], [0.000, 0.500, 0.000], [0.500, 0.000, 0.000], [0.250, 0.750, 0.500], [0.000, 0.000, 0.000]],
  "density_g_cm3": 7.13,
  "volume_a3_per_atom": 32.36,
  "total_magnetization_mub_per_cell": 0.00,
  "e_tot_ev_per_atom": -4.05,
  "crystal_system": "tetragonal",
  "n_ef_per_ev_atom": 1.46
}

21.
{
  "formula": "Pm2Dy3In3",
  "functional": "GGA-PBE",
  "state": "relaxed",
  "lattice_angstrom": [[4.923, 0.000, 0.000], [0.000, 4.973, 0.000], [0.000, 0.000, 9.254]],
  "species": ["In", "In", "In", "Pm", "Pm", "Dy", "Dy", "Dy"],
  "frac_coords": [[0.500, 0.000, 0.500], [0.000, 0.500, 0.000], [0.000, 0.500, 0.500], [0.000, 0.000, 0.742], [0.000, 0.000, 0.258], [0.500, 0.000, 0.000], [0.500, 0.500, 0.268], [0.500, 0.500, 0.732]],
  "density_g_cm3": 8.22,
  "volume_a3_per_atom": 28.32,
  "total_magnetization_mub_per_cell": 0.03,
  "e_tot_ev_per_atom": -4.29,
  "crystal_system": "orthorhombic",
  "n_ef_per_ev_atom": 1.21
}